[1]
Tl5InSe4: optimized geometry, PBE.

Unit cell a=8.6843 b=10.7785 c=7.6109 alpha=90.00 beta=90.00 gamma=90.00
Last column: nearest neighbours and their distance in Å.
Positions (direct):
Tl  0.0365  0.0469  0.2261  3 Se 3.02-3.26
Tl  0.0365  0.4531  0.2261  3 Se 3.02-3.26
Tl  0.2500  0.2500  0.5561  4 Se 3.05-3.24
Tl  0.4635  0.0469  0.2261  3 Se 3.02-3.26
Tl  0.4635  0.4531  0.2261  3 Se 3.02-3.26
Tl  0.5365  0.5469  0.7739  3 Se 3.02-3.26
Tl  0.5365  0.9531  0.7739  3 Se 3.02-3.26
Tl  0.7500  0.7500  0.4439  4 Se 3.05-3.24
Tl  0.9635  0.5469  0.7739  3 Se 3.02-3.26
Tl  0.9635  0.9531  0.7739  3 Se 3.02-3.26
In  0.2500  0.7500  0.3489  4 Se 2.61-2.64
In  0.7500  0.2500  0.6511  4 Se 2.61-2.64
Se  0.0018  0.2500  0.8390  1 In 2.61
Se  0.2500  0.5509  0.5501  1 In 2.64
Se  0.2500  0.9491  0.5501  1 In 2.64
Se  0.4982  0.2500  0.8390  1 In 2.61
Se  0.5018  0.7500  0.1610  1 In 2.61
Se  0.7500  0.0509  0.4499  1 In 2.64
Se  0.7500  0.4491  0.4499  1 In 2.64
Se  0.9982  0.7500  0.1610  1 In 2.61

Results
The calculation puts the uncorrected energy at -3.267 eV per atom. The magnetic moment is 0.000 Bohr magnetons per cell. As for the crystal system: orthorhombic. As for the energy above the most stable polymorph in this dataset: 0 meV/atom.

=====

[2]
TlIn2Se: optimized geometry, PBE.

Unit cell a=7.6650 b=7.6650 c=7.6650 alpha=90.00 beta=90.00 gamma=90.00
Last column: nearest neighbours and their distance in Å.
Positions (direct):
Tl  0.0000  0.0000  0.0000  8 In 3.32
Tl  0.0000  0.5000  0.5000  8 In 3.32
Tl  0.5000  0.0000  0.5000  8 In 3.32
Tl  0.5000  0.5000  0.0000  8 In 3.32
In  0.2500  0.2500  0.2500  4 Tl 3.32, 4 Se 3.32
In  0.2500  0.2500  0.7500  4 Tl 3.32, 4 Se 3.32
In  0.2500  0.7500  0.2500  4 Tl 3.32, 4 Se 3.32
In  0.2500  0.7500  0.7500  4 Tl 3.32, 4 Se 3.32
In  0.7500  0.2500  0.2500  4 Tl 3.32, 4 Se 3.32
In  0.7500  0.2500  0.7500  4 Tl 3.32, 4 Se 3.32
In  0.7500  0.7500  0.2500  4 Tl 3.32, 4 Se 3.32
In  0.7500  0.7500  0.7500  4 Tl 3.32, 4 Se 3.32
Se  0.0000  0.0000  0.5000  8 In 3.32
Se  0.0000  0.5000  0.0000  8 In 3.32
Se  0.5000  0.0000  0.0000  8 In 3.32
Se  0.5000  0.5000  0.5000  8 In 3.32

Results
The calculation puts the uncorrected energy at -2.853 eV per atom. The magnetic moment is 0.000 Bohr magnetons per cell. For the density of states at the Fermi level, the calculation gives 14.0 states/eV/cell. As for the crystal system: cubic.

=====

[3]
Tl2In2Se3: optimized geometry, PBE.

Unit cell a=7.7738 b=9.6432 c=6.4309 alpha=90.00 beta=107.23 gamma=90.00
Last column: nearest neighbours and their distance in Å.
Positions (direct):
Tl  0.1946  0.1421  0.4586  3 Se 3.20-3.31
Tl  0.1946  0.3579  0.9586  3 Se 3.20-3.31
Tl  0.8054  0.6421  0.0414  3 Se 3.20-3.31
Tl  0.8054  0.8579  0.5414  3 Se 3.20-3.31
In  0.3356  0.6156  0.5876  4 Se 2.74-2.85
In  0.3356  0.8844  0.0876  4 Se 2.74-2.85
In  0.6644  0.1156  0.9124  4 Se 2.74-2.85
In  0.6644  0.3844  0.4124  4 Se 2.74-2.85
Se  0.0000  0.0000  0.0000  2 In 2.74
Se  0.0000  0.5000  0.5000  2 In 2.74
Se  0.4453  0.6126  0.2114  3 In 2.79-2.85
Se  0.4453  0.8874  0.7114  3 In 2.79-2.85
Se  0.5547  0.1126  0.2886  3 In 2.79-2.85
Se  0.5547  0.3874  0.7886  3 In 2.79-2.85

Results
The calculation puts the uncorrected energy at -3.324 eV per atom. The magnetic moment is 0.000 Bohr magnetons per cell. For the density of states at the Fermi level, the calculation gives 1.6 states/eV/cell. As for the crystal system: monoclinic.

=====

Number 1: raw formation energy -0.42 eV per atom. Number 2: raw formation energy -0.02 eV per atom. Number 3: raw formation energy -0.37 eV per atom.